DFT (PBE-GGA) results for a relaxed structure of ZnSbP2.

The calculation puts the formation energy from raw total energies at 152 meV/atom. For the mass density, the calculation gives 4.42 g/cm³.

The structure belongs to space group Cm (No. 8); the cell edges are 10.158, 3.801 and 4.865 Å and the angles 90.00°, 94.84° and 90.00°. Symmetry generates all atoms from Zn at (0.000, 0.000, 0.000), Sb at (0.284, 0.000, 0.564), P at (0.124, 0.500, 0.890) and P at (0.297, 0.500, 0.200).

DFT (PBE-GGA) results for a relaxed structure of ZnSbP2.

The calculation puts the formation energy from raw total energies at 403 meV/atom. For the mass density, the calculation gives 5.01 g/cm³.

The structure belongs to space group Cmm2 (No. 35); the cell edges are 3.226, 5.728 and 8.931 Å and the angles 90.00°, 90.00° and 90.00°. Symmetry generates all atoms from Zn at (0.000, 0.000, 0.000), Sb at (0.000, 0.500, 0.265), P at (0.000, 0.000, 0.602) and P at (0.000, 0.500, 0.769).